Record 1
A plane-wave DFT calculation with PBE-GGA was carried out for a relaxed structure of SrAg2W.

Calculated values
DFT formation energy	0.7471	eV/atom
M_tot	0.34	μB per atom
mass density	9.7	g/cm3
energy	-4.337	eV per atom

Cell lengths 5.228, 5.228, 3.058 Å; angles 90.00, 90.00, 90.00 degrees
Each line ends with the local moment (μB).
Atoms (fractional coordinates):
Sr (0.500, 0.000, 0.500)  0.00
W (0.000, 0.500, 0.500)  0.95
Ag (0.500, 0.500, 0.000)  0.04
Ag (0.000, 0.000, 0.000)  0.04

Record 2
A plane-wave DFT calculation with PBE-GGA was carried out for a relaxed structure of SrAg2W.

Calculated values
DFT formation energy	0.8602	eV/atom
M_tot	0.83	μB per atom
mass density	8.9	g/cm3
energy	-4.224	eV per atom

Cell lengths 5.040, 5.040, 5.040 Å; angles 60.00, 60.00, 60.00 degrees
Each line ends with the local moment (μB).
Atoms (fractional coordinates):
Sr (0.000, 0.000, 0.000)  0.03
Ag (0.750, 0.750, 0.750)  0.07
Ag (0.250, 0.250, 0.250)  0.07
W (0.500, 0.500, 0.500)  2.39

Record 3
A plane-wave DFT calculation with PBE-GGA was carried out for a relaxed structure of SrY2AgW.

Calculated values
DFT formation energy	0.7444	eV/atom
M_tot	0.00	μB per atom
mass density	5.4	g/cm3
energy	-5.339	eV per atom

Cell lengths 5.381, 5.920, 5.381 Å; angles 90.00, 90.00, 90.00 degrees
Atoms (fractional coordinates):
W (0.000, 0.000, 0.000)
Sr (0.000, 0.500, 0.000)
Y (0.000, 0.000, 0.500)
Y (0.500, 0.000, 0.000)
Ag (0.500, 0.500, 0.500)